# 1
Compound: GaOs3N
Source: Alexandria
Functional: PBE
Structure: optimized geometry

Values from the calculation:
Formation energy without anion corrections ... 3.25 eV/f.u.

Geometry as extended XYZ:
```
5
Lattice="-2.716 -0.460 2.977 0.283 -4.029 -0.364 2.999 -0.036 2.730" Properties=species:S:1:pos:R:3 pbc="T T T"
Os 0.141 -2.015 -0.182
Os 1.499 -0.018 1.365
Os -1.358 -0.230 1.488
Ga 0.283 -2.263 2.671
N 0.000 0.000 0.000
```


# 2
Compound: HfFe3Ir
Source: Alexandria
Functional: PBE
Structure: optimized geometry

Geometry as extended XYZ:
```
5
Lattice="4.421 0.000 0.000 0.000 4.421 0.000 0.000 0.000 4.421" Properties=species:S:1:pos:R:3 pbc="T T T"
Ir 2.211 2.211 2.211
Hf 0.000 0.000 0.000
Fe 0.000 2.211 0.000
Fe 0.000 0.000 2.211
Fe 2.211 0.000 0.000
```


Values for energy above the most stable polymorph in this dataset, meV per atom, ordered as above
0.0 510.2
Values for density of states at the Fermi level, states/eV per cell, ordered as above
2.4 5.0